This record from the Alexandria database describes an optimized crystal structure of KSb2Pt. The functional is GGA-PBE.

Results
- Magnetization: 0.00 μB/cell
- Calculated density: 7.9 g/cm3
- DFT total energy: -14.6 eV/f.u.

Cell: 7.385 7.385 7.385 Å, 90.00 90.00 90.00°
Space group F-43m (No. 216)
One atom of each set of equivalent atoms:
K1 0.000 0.000 0.000 [4 per cell]
Sb1 0.000 0.000 0.500 [4 per cell]
Sb2 0.250 0.250 0.750 [4 per cell]
Pt1 0.250 0.250 0.250 [4 per cell]